Cd3HgS after structural relaxation. Source: Alexandria, functional PBE.

Cell and atoms, written as POSCAR:
```
Cd3HgS
1.0
5.3640 0.0000 0.0000
0.0000 5.3640 0.0000
0.0000 0.0000 5.3640
S Hg Cd
1 1 3
Direct
0.5000 0.5000 0.5000
0.0000 0.0000 0.0000
0.0000 0.5000 0.0000
0.0000 0.0000 0.5000
0.5000 0.0000 0.0000
```

## Properties
energy relative to the elements, uncorrected = 0.4353 eV per atom
offset from the most stable computed form = 0.197 eV per atom
size of the total moment = 0.00 μB per cell
calculated total energy = -4.998 eV per cell

Cd2HgS after structural relaxation. Source: Alexandria, functional PBE.

Cell and atoms, written as POSCAR:
```
Cd2HgS
1.0
-4.8962 0.4598 1.1446
-3.4870 -0.3617 -3.6338
-3.0290 -4.0348 -0.1997
S Hg Cd
1 1 2
Direct
0.0000 0.0000 0.0000
0.5000 0.5000 0.5000
0.2500 0.2500 0.2500
0.7500 0.7500 0.7500
```

## Properties
energy relative to the elements, uncorrected = 0.0845 eV per atom
offset from the most stable computed form = 0.259 eV per atom
size of the total moment = 0.00 μB per cell
calculated total energy = -5.921 eV per cell

CdHgS4 after structural relaxation. Source: Alexandria, functional PBE.

Cell and atoms, written as POSCAR:
```
CdHgS4
1.0
6.0046 0.0158 0.0000
-4.1156 4.3724 0.0000
-0.9445 -2.1941 5.5091
Cd Hg S
1 1 4
Direct
0.7500 0.2500 0.5000
0.0000 0.0000 0.0000
0.6613 0.6237 0.5396
0.0841 0.1217 0.4604
0.8783 0.3387 0.9624
0.3763 0.9159 0.0376
```

## Properties
energy relative to the elements, uncorrected = 0.0692 eV per atom
offset from the most stable computed form = 0.000 eV per atom
size of the total moment = 0.00 μB per cell
calculated total energy = -17.312 eV per cell

CdHgS after structural relaxation. Source: Alexandria, functional PBE.

Cell and atoms, written as POSCAR:
```
CdHgS
1.0
4.3376 0.0000 0.0000
2.1688 3.7565 0.0000
2.1688 1.2522 11.4242
Cd S Hg
2 2 2
Direct
0.6313 0.6313 0.1060
0.3687 0.3687 0.8940
0.2866 0.2866 0.1403
0.7134 0.7134 0.8597
0.8653 0.8653 0.4040
0.1347 0.1347 0.5960
```

## Properties
energy relative to the elements, uncorrected = -0.3144 eV per atom
offset from the most stable computed form = 0.000 eV per atom
size of the total moment = 0.00 μB per cell
calculated total energy = -12.575 eV per cell

Q: Which value of calculated total energy does entry 4 give?
A: -12.575 eV per cell